No. 1
BaLiSi (PBE, optimized geometry); E_form (uncorrected) = -3.2 kcal/mol of atoms; D(E_F) = 0.40 states/eV/atom; space group = No. 91
1.0
5.9735 0.0000 0.0000
0.0000 5.9735 0.0000
0.0000 0.0000 8.3789
Si Ba Li
4 4 4
direct
0.5000 0.7416 0.0000
0.5000 0.2584 0.5000
0.2584 0.5000 0.2500
0.7416 0.5000 0.7500
0.7419 0.7419 0.3750
0.2581 0.2581 0.8750
0.2581 0.7419 0.6250
0.7419 0.2581 0.1250
0.0000 0.7242 0.0000
0.0000 0.2758 0.5000
0.2758 0.0000 0.2500
0.7242 0.0000 0.7500

=====

No. 2
BaLiSi2 (PBE, optimized geometry); E_form (uncorrected) = 4.1 kcal/mol of atoms; D(E_F) = 0.43 states/eV/atom; space group = No. 47
1.0
4.4248 0.0000 0.0000
0.0000 4.4141 0.0000
0.0000 0.0000 4.8388
Ba Li Si
1 1 2
direct
0.5000 0.0000 0.5000
0.0000 0.5000 0.5000
0.0000 0.0000 0.0000
0.5000 0.5000 0.0000

=====

No. 3
BaLiSi2 (PBE, optimized geometry); E_form (uncorrected) = -6.2 kcal/mol of atoms; D(E_F) = 0.09 states/eV/atom; space group = No. 44
1.0
-2.7596 6.9626 -1.3743
-3.1829 -0.1243 5.7615
6.5882 3.3438 3.7118
Ba Li Si
4 4 8
direct
0.0000 0.0000 0.5187
0.5000 0.5000 0.0187
0.0000 0.5000 0.1726
0.5000 0.0000 0.6726
0.7790 0.0000 0.0260
0.2210 0.0000 0.0260
0.2790 0.5000 0.5260
0.7210 0.5000 0.5260
0.6569 0.8167 0.3140
0.3431 0.1833 0.3140
0.3431 0.8167 0.3140
0.6569 0.1833 0.3140
0.1569 0.3167 0.8140
0.8431 0.6833 0.8140
0.8431 0.3167 0.8140
0.1569 0.6833 0.8140

=====

Which value of E_form (uncorrected) does entry 2 give? 4.1 kcal/mol of atoms

=====

Please write out number 2 again, unchanged.
BaLiSi2 (PBE, optimized geometry); E_form (uncorrected) = 4.1 kcal/mol of atoms; D(E_F) = 0.43 states/eV/atom; space group = No. 47
1.0
4.4248 0.0000 0.0000
0.0000 4.4141 0.0000
0.0000 0.0000 4.8388
Ba Li Si
1 1 2
direct
0.5000 0.0000 0.5000
0.0000 0.5000 0.5000
0.0000 0.0000 0.0000
0.5000 0.5000 0.0000

=====

Which value of E_form (uncorrected) does entry 2 give? 4.1 kcal/mol of atoms